A relaxed structure of MnNiAs4, computed with PBE.

Geometry as POSCAR:
```
MnNiAs4
1.0
0.000 3.834 3.834
3.834 0.000 3.834
3.834 3.834 0.000
Mn Ni As
1 1 4
direct
0.750 0.750 0.750
0.000 0.000 0.000
0.876 0.375 0.375
0.375 0.375 0.876
0.375 0.876 0.375
0.375 0.375 0.375
```

## Properties
The calculated formation energy comes out at 0.6763 eV/atom. The energy above the lowest structure with this stoichiometry comes out at 0.824 eV per atom.